Computed, not measured: a relaxed CaW crystal at the PBE level of DFT.

a b c (Å): 4.3460 4.3460 4.3460
angles (deg): 60.00 60.00 60.00
Site moments in Bohr magnetons follow the coordinates.
Positions (direct):
Ca 0.0000 0.0000 0.0000  0.13
W 0.5000 0.5000 0.5000  2.80

Values from the calculation:
Calculated total energy in eV/atom: -4.97
Density of states at the Fermi level in states/eV per cell: 1.97
Energy of formation in eV/atom: 2.51
Offset from the most stable computed form in eV/f.u.: 4.04

Computed, not measured: a relaxed CaW crystal at the PBE level of DFT.

a b c (Å): 6.0207 6.0207 6.0207
angles (deg): 146.29 126.15 65.06
Positions (direct):
Ca 0.0179 0.0179 0.0000
Ca 0.7321 0.2321 0.5000
W 0.4583 0.4583 0.0000
W 0.2917 0.7917 0.5000

Values from the calculation:
Calculated total energy in eV/atom: -6.75
Density of states at the Fermi level in states/eV per cell: 3.04
Energy of formation in eV/atom: 0.73
Offset from the most stable computed form in eV/f.u.: 0.49

Computed, not measured: a relaxed Ca2W crystal at the PBE level of DFT.

a b c (Å): 9.1233 9.1233 5.5294
angles (deg): 90.00 90.00 161.37
Site moments in Bohr magnetons follow the coordinates.
Positions (direct):
Ca 0.7834 0.2166 0.7500  0.01
Ca 0.4556 0.5444 0.7500  0.01
Ca 0.2166 0.7834 0.2500  0.01
Ca 0.5444 0.4556 0.2500  0.01
W 0.1211 0.8789 0.7500  0.56
W 0.8789 0.1211 0.2500  0.56

Values from the calculation:
Calculated total energy in eV/atom: -4.65
Density of states at the Fermi level in states/eV per cell: 8.46
Energy of formation in eV/atom: 1.00
Offset from the most stable computed form in eV/f.u.: 1.55

Computed, not measured: a relaxed Ca2W crystal at the PBE level of DFT.

a b c (Å): 7.3478 7.3478 7.3478
angles (deg): 90.00 90.00 90.00
Site moments in Bohr magnetons follow the coordinates.
Positions (direct):
Ca 0.6526 0.6526 0.3474  0.06
Ca 0.3474 0.3474 0.6526  0.06
Ca 0.1526 0.8474 0.6526  0.06
Ca 0.8474 0.1526 0.3474  0.06
Ca 0.3474 0.1526 0.1526  0.06
Ca 0.6526 0.8474 0.8474  0.06
Ca 0.8474 0.3474 0.8474  0.06
Ca 0.1526 0.6526 0.1526  0.06
W 0.0000 0.0000 0.0000  2.37
W 0.5000 0.5000 0.0000  2.37
W 0.5000 0.0000 0.5000  2.37
W 0.0000 0.5000 0.5000  2.37

Values from the calculation:
Calculated total energy in eV/atom: -4.12
Density of states at the Fermi level in states/eV per cell: 17.58
Energy of formation in eV/atom: 1.53
Offset from the most stable computed form in eV/f.u.: 3.13

Computed, not measured: a relaxed CaW crystal at the PBE level of DFT.

a b c (Å): 13.2046 13.2046 3.2187
angles (deg): 90.00 90.00 90.00
Positions (direct):
Ca 0.4532 0.8100 0.0000
Ca 0.5468 0.1900 0.0000
Ca 0.1900 0.4532 0.0000
Ca 0.8100 0.5468 0.0000
Ca 0.9532 0.3100 0.5000
Ca 0.0468 0.6900 0.5000
Ca 0.6900 0.9532 0.5000
Ca 0.3100 0.0468 0.5000
W 0.3177 0.2564 0.0000
W 0.6823 0.7436 0.0000
W 0.7436 0.3177 0.0000
W 0.2564 0.6823 0.0000
W 0.8177 0.7564 0.5000
W 0.1823 0.2436 0.5000
W 0.2436 0.8177 0.5000
W 0.7564 0.1823 0.5000

Values from the calculation:
Calculated total energy in eV/atom: -6.26
Density of states at the Fermi level in states/eV per cell: 17.07
Energy of formation in eV/atom: 1.22
Offset from the most stable computed form in eV/f.u.: 1.45

Computed, not measured: a relaxed CaW crystal at the PBE level of DFT.

a b c (Å): 5.6121 5.6121 5.6121
angles (deg): 90.00 90.00 90.00
Positions (direct):
Ca 0.0983 0.5983 0.9017
Ca 0.4017 0.4017 0.4017
Ca 0.9017 0.0983 0.5983
Ca 0.5983 0.9017 0.0983
W 0.3939 0.8939 0.6061
W 0.1061 0.1061 0.1061
W 0.6061 0.3939 0.8939
W 0.8939 0.6061 0.3939

Values from the calculation:
Calculated total energy in eV/atom: -5.76
Density of states at the Fermi level in states/eV per cell: 13.15
Energy of formation in eV/atom: 1.72
Offset from the most stable computed form in eV/f.u.: 2.46

What are the calculated volume values for these records? In order: 29.02; 24.16; 24.50; 33.06; 35.08; 22.09 Å³/atom.
What are the total moment values for these records? In order: 3.9; 0.0; 1.8; 12.9; 0.0; 0.0 Bohr magnetons per cell.